Record 1
This record from Alexandria via LeMat-Bulk describes a relaxed structure of ReHg. The functional is PBE.

Values from the calculation:
Density (g/cm3): 14.98
Space-group type: P6_3/mmc, No. 194
Calculated volume (Å³/f.u.): 42.9
E above lowest polymorph (meV per atom): 1020.4
DOS at the Fermi energy (states/eV/cell): 7.1
DFT formation energy (kJ/mol of atoms): 136.3
Total energy (eV for the cell shown): -19.85

Cell: 4.5234 4.5234 4.8381 Å, 90.00 90.00 120.00°
Last column: nearest neighbours and their distance in Å.
Element x y z (fractional)
Re1 0.0000 0.0000 0.0000  2 Re 2.42
Re2 0.0000 0.0000 0.5000  2 Re 2.42
Hg1 0.3333 0.6667 0.2500  6 Re 2.88
Hg2 0.6667 0.3333 0.7500  6 Re 2.88

Record 2
This record from Alexandria via LeMat-Bulk describes a relaxed structure of Cu2PbAu2. The functional is PBE.

Values from the calculation:
Density (g/cm3): 13.48
Space-group type: P4/mbm, No. 127
Calculated volume (Å³/f.u.): 89.7
E above lowest polymorph (meV per atom): 0.0
DOS at the Fermi energy (states/eV/cell): 3.0
DFT formation energy (kJ/mol of atoms): 3.4
Total energy (eV for the cell shown): -36.56

Cell: 7.5930 7.5930 3.1120 Å, 90.00 90.00 90.00°
Last column: nearest neighbours and their distance in Å.
Element x y z (fractional)
Cu1 0.1240 0.3760 0.0000  1 Cu 2.66, 6 Au 2.72-2.74
Cu2 0.3760 0.8760 0.0000  1 Cu 2.66, 6 Au 2.72-2.74
Cu3 0.6240 0.1240 0.0000  1 Cu 2.66, 6 Au 2.72-2.74
Cu4 0.8760 0.6240 0.0000  1 Cu 2.66, 6 Au 2.72-2.74
Pb1 0.0000 0.0000 0.0000  4 Cu 3.01, 2 Pb 3.11, 8 Au 3.23
Pb2 0.5000 0.5000 0.0000  4 Cu 3.01, 2 Pb 3.11, 8 Au 3.23
Au1 0.1661 0.6661 0.5000  6 Cu 2.72-2.74
Au2 0.3339 0.1661 0.5000  6 Cu 2.72-2.74
Au3 0.6661 0.8339 0.5000  6 Cu 2.72-2.74
Au4 0.8339 0.3339 0.5000  6 Cu 2.72-2.74

Record 3
This record from Alexandria via LeMat-Bulk describes a relaxed structure of ErHg2Pb. The functional is PBE.

Values from the calculation:
Density (g/cm3): 12.25
Space-group type: P4/mmm, No. 123
Calculated volume (Å³/f.u.): 105.2
DOS at the Fermi energy (states/eV/cell): 2.2
DFT formation energy (kJ/mol of atoms): -25.3
Total energy (eV for the cell shown): -9.92

Cell: 3.6842 3.6842 7.7489 Å, 90.00 90.00 90.00°
Last column: nearest neighbours and their distance in Å.
Element x y z (fractional)
Er1 0.0000 0.0000 0.0000  8 Hg 3.17
Hg1 0.5000 0.5000 0.2328  4 Er 3.17, 4 Pb 3.33
Hg2 0.5000 0.5000 0.7672  4 Er 3.17, 4 Pb 3.33
Pb1 0.0000 0.0000 0.5000  8 Hg 3.33, 4 Pb 3.68

Record 4
This record from Alexandria via LeMat-Bulk describes a relaxed structure of Ba2Sr4P. The functional is PBE.

Values from the calculation:
Density (g/cm3): 2.67
Space-group type: I4/mmm, No. 139
Calculated volume (Å³/f.u.): 408.8
DOS at the Fermi energy (states/eV/cell): 10.5
DFT formation energy (kJ/mol of atoms): -20.8
Total energy (eV for the cell shown): -17.49

Cell: 12.5150 12.5150 12.5150 Å, 152.80 152.80 38.84°
Last column: nearest neighbours and their distance in Å.
Element x y z (fractional)
Ba1 0.1887 0.1887 0.0000  5 Sr 4.38-4.42
Ba2 0.8113 0.8113 0.0000  5 Sr 4.38-4.42
Sr1 0.0000 0.5000 0.5000  2 P 2.94
Sr2 0.3742 0.3742 0.0000  1 P 2.97
Sr3 0.5000 0.0000 0.5000  2 P 2.94
Sr4 0.6258 0.6258 0.0000  1 P 2.97
P1 0.5000 0.5000 0.0000  6 Sr 2.94-2.97

Record 5
This record from Alexandria via LeMat-Bulk describes a relaxed structure of SnBiTeAu. The functional is PBE.

Values from the calculation:
Density (g/cm3): 8.37
Space-group type: R-3m, No. 166
Calculated volume (Å³/f.u.): 129.4
DOS at the Fermi energy (states/eV/cell): 3.1
Total energy (eV for the cell shown): -28.59
Raw formation energy (eV/atom): 0.00

Cell: 12.1746 12.1746 12.1746 Å, 23.84 23.84 23.84°
Last column: nearest neighbours and their distance in Å.
Element x y z (fractional)
Sn1 0.0937 0.0937 0.0937  3 Te 3.12, 3 Au 3.31, 3 Bi 3.48
Sn2 0.9063 0.9063 0.9063  3 Te 3.12, 3 Au 3.31, 3 Bi 3.48
Bi1 0.2937 0.2937 0.2937  4 Au 2.92-3.13, 1 Te 3.07
Bi2 0.7063 0.7063 0.7063  4 Au 2.92-3.13, 1 Te 3.07
Te1 0.2071 0.2071 0.2071  1 Bi 3.07, 3 Sn 3.12
Te2 0.7929 0.7929 0.7929  1 Bi 3.07, 3 Sn 3.12
Au1 0.3820 0.3820 0.3820  4 Bi 2.92-3.13
Au2 0.6180 0.6180 0.6180  4 Bi 2.92-3.13

Record 6
This record from Alexandria via LeMat-Bulk describes a relaxed structure of Rb4I2BrF. The functional is PBE.

Values from the calculation:
Density (g/cm3): 3.41
Space-group type: C2/c, No. 15
Calculated volume (Å³/f.u.): 338.1
DOS at the Fermi energy (states/eV/cell): 0.0
Total energy (eV for the cell shown): -49.53
Raw formation energy (eV/atom): -1.78

Cell: 9.8296 9.8296 9.8198 Å, 119.84 119.84 89.63°
Last column: nearest neighbours and their distance in Å.
Element x y z (fractional)
Rb1 0.2135 0.2238 0.4717  2 F 3.25-3.31, 1 Br 3.41, 1 I 3.55
Rb2 0.2207 0.7792 0.5104  1 F 3.06
Rb3 0.2208 0.7793 0.9896  1 F 3.06
Rb4 0.2238 0.2135 0.9717  2 F 3.25-3.31, 1 Br 3.41, 1 I 3.55
Rb5 0.7762 0.7865 0.0283  2 F 3.25-3.31, 1 Br 3.41, 1 I 3.55
Rb6 0.7792 0.2207 0.0104  1 F 3.06
Rb7 0.7793 0.2208 0.4896  1 F 3.06
Rb8 0.7865 0.7762 0.5283  2 F 3.25-3.31, 1 Br 3.41, 1 I 3.55
I1 0.0000 0.5000 0.0000  6 Rb 3.55-3.59
I2 0.5000 0.0000 0.5000  6 Rb 3.55-3.59
I3 0.5000 0.5000 0.0000  6 Rb 3.71-3.87
I4 0.5000 0.5000 0.5000  6 Rb 3.71-3.87
Br1 0.0000 0.5000 0.5000  6 Rb 3.41-3.45
Br2 0.5000 0.0000 0.0000  6 Rb 3.41-3.45
F1 0.0000 0.0000 0.0000  6 Rb 3.06-3.31
F2 0.0000 0.0000 0.5000  6 Rb 3.06-3.31

Record 7
This record from Alexandria via LeMat-Bulk describes a relaxed structure of HoMgPa. The functional is PBE.

Values from the calculation:
Density (g/cm3): 8.89
Space-group type: P4/nmm, No. 129
Calculated volume (Å³/f.u.): 78.5
E above lowest polymorph (meV per atom): 0.0
DOS at the Fermi energy (states/eV/cell): 6.1
DFT formation energy (kJ/mol of atoms): 1.8
Total energy (eV for the cell shown): -31.22

Cell: 3.3535 3.3535 13.9573 Å, 90.00 90.00 90.00°
Last column: nearest neighbours and their distance in Å.
Element x y z (fractional)
Ho1 0.2500 0.2500 0.2460  4 Ho 3.35, 4 Pa 3.38, 4 Mg 3.39
Ho2 0.7500 0.7500 0.7540  4 Ho 3.35, 4 Pa 3.38, 4 Mg 3.39
Mg1 0.2500 0.2500 0.9276  8 Mg 3.12-3.35, 4 Ho 3.39
Mg2 0.7500 0.7500 0.0724  8 Mg 3.12-3.35, 4 Ho 3.39
Pa1 0.2500 0.2500 0.5815  8 Pa 3.29-3.35, 4 Ho 3.38
Pa2 0.7500 0.7500 0.4185  8 Pa 3.29-3.35, 4 Ho 3.38

Record 8
This record from Alexandria via LeMat-Bulk describes a relaxed structure of Sr2MgZn3Cd12. The functional is PBE.

Values from the calculation:
Density (g/cm3): 5.46
Space-group type: R-3m, No. 166
Calculated volume (Å³/f.u.): 530.8
DOS at the Fermi energy (states/eV/cell): 7.3
DFT formation energy (kJ/mol of atoms): 11.4
Total energy (eV for the cell shown): -17.64

Cell: 8.5218 8.5218 8.5218 Å, 70.29 70.29 70.29°
Last column: nearest neighbours and their distance in Å.
Element x y z (fractional)
Sr1 0.1019 0.1019 0.1019  6 Cd 3.28-3.39
Sr2 0.8981 0.8981 0.8981  6 Cd 3.28-3.39
Mg1 0.5000 0.5000 0.5000  6 Cd 2.95
Zn1 0.0000 0.5000 0.5000  6 Cd 2.66-2.77
Zn2 0.5000 0.0000 0.5000  6 Cd 2.66-2.77
Zn3 0.5000 0.5000 0.0000  6 Cd 2.66-2.77
Cd1 0.1311 0.6429 0.6429  1 Zn 2.66, 1 Mg 2.95
Cd2 0.2094 0.2094 0.6649  2 Zn 2.77
Cd3 0.2094 0.6649 0.2094  2 Zn 2.77
Cd4 0.3351 0.7906 0.7906  2 Zn 2.77
Cd5 0.3571 0.3571 0.8689  1 Zn 2.66, 1 Mg 2.95
Cd6 0.3571 0.8689 0.3571  1 Zn 2.66, 1 Mg 2.95
Cd7 0.6429 0.1311 0.6429  1 Zn 2.66, 1 Mg 2.95
Cd8 0.6429 0.6429 0.1311  1 Zn 2.66, 1 Mg 2.95
Cd9 0.6649 0.2094 0.2094  2 Zn 2.77
Cd10 0.7906 0.3351 0.7906  2 Zn 2.77
Cd11 0.7906 0.7906 0.3351  2 Zn 2.77
Cd12 0.8689 0.3571 0.3571  1 Zn 2.66, 1 Mg 2.95

Record 9
This record from Alexandria via LeMat-Bulk describes a relaxed structure of Sm4Zn2Au. The functional is PBE.

Values from the calculation:
Density (g/cm3): 8.16
Space-group type: R-3m, No. 166
Calculated volume (Å³/f.u.): 189.0
DOS at the Fermi energy (states/eV/cell): 8.2
DFT formation energy (kJ/mol of atoms): -29.1
Total energy (eV for the cell shown): -26.82

Cell: 8.8239 8.8239 8.8239 Å, 33.75 33.75 33.75°
Last column: nearest neighbours and their distance in Å.
Element x y z (fractional)
Sm1 0.1222 0.1222 0.1222  4 Zn 3.13-3.24, 3 Au 3.16
Sm2 0.3731 0.3731 0.3731  4 Zn 3.02-3.13, 1 Au 3.17
Sm3 0.6269 0.6269 0.6269  4 Zn 3.02-3.13, 1 Au 3.17
Sm4 0.8778 0.8778 0.8778  4 Zn 3.13-3.24, 3 Au 3.16
Zn1 0.2520 0.2520 0.2520  8 Sm 3.02-3.24
Zn2 0.7480 0.7480 0.7480  8 Sm 3.02-3.24
Au1 0.5000 0.5000 0.5000  8 Sm 3.16-3.17

Record 10
This record from Alexandria via LeMat-Bulk describes a relaxed structure of KH2N. The functional is PBE.

Values from the calculation:
Density (g/cm3): 1.13
Space-group type: P2_1/c, No. 14
Calculated volume (Å³/f.u.): 80.7
E above lowest polymorph (meV per atom): 46.3
Total energy (eV for the cell shown): -69.70

Cell: 3.6688 7.9028 11.7157 Å, 90.00 108.19 90.00°
Last column: nearest neighbours and their distance in Å.
Element x y z (fractional)
K1 0.0009 0.2500 0.2509  4 H 2.78, 4 N 2.87
K2 0.0009 0.2500 0.7509  4 H 2.78, 4 N 2.87
K3 0.9991 0.7500 0.2491  4 H 2.78, 4 N 2.87
K4 0.9991 0.7500 0.7491  4 H 2.78, 4 N 2.87
H1 0.1386 0.0013 0.1020  1 N 1.03
H2 0.1386 0.4987 0.6020  1 N 1.03
H3 0.4336 0.5009 0.3980  1 N 1.03
H4 0.4336 0.9991 0.8980  1 N 1.03
H5 0.5664 0.0009 0.1020  1 N 1.03
H6 0.5664 0.4991 0.6020  1 N 1.03
H7 0.8614 0.5013 0.3980  1 N 1.03
H8 0.8614 0.9987 0.8980  1 N 1.03
N1 0.4126 0.0004 0.1623  2 H 1.03
N2 0.4126 0.4996 0.6623  2 H 1.03
N3 0.5874 0.9996 0.8377  2 H 1.03
N4 0.5874 0.5004 0.3377  2 H 1.03